Record 1
Computed, not measured: a geometry-optimized ZnCr2Te structure at the PBE level of DFT.

Structure (CIF):
```
data_ZnCr2Te
_cell_length_a 4.243
_cell_length_b 4.243
_cell_length_c 3.651
_cell_angle_alpha 90.00
_cell_angle_beta 90.00
_cell_angle_gamma 90.00
_symmetry_space_group_name_H-M 'P 4/m m m'
_symmetry_Int_Tables_number 123
_symmetry_space_group_name_Hall '-P 4 2'
loop_
_atom_site_label
_atom_site_type_symbol
_atom_site_fract_x
_atom_site_fract_y
_atom_site_fract_z
_atom_site_occupancy
Zn1 Zn 0.000 0.000 0.000 1
Cr1 Cr 0.000 0.500 0.500 1
Te1 Te 0.500 0.500 0.000 1
```

Results
E above lowest polymorph = 45 kJ/mol of formula units
Total magnetic moment = 1.43 μB/atom
E_form (uncorrected) = 0.430 eV per atom

---

Record 2
Computed, not measured: a geometry-optimized ZnCr2Te structure at the PBE level of DFT.

Structure (CIF):
```
data_ZnCr2Te
_cell_length_a 3.644
_cell_length_b 3.644
_cell_length_c 5.518
_cell_angle_alpha 90.00
_cell_angle_beta 90.00
_cell_angle_gamma 90.00
_symmetry_space_group_name_H-M 'P 4 m m'
_symmetry_Int_Tables_number 99
loop_
_symmetry_equiv_pos_as_xyz
'x,y,z'
'-y,x,z'
'-x,-y,z'
'y,-x,z'
'-x,y,z'
'y,x,z'
'x,-y,z'
'-y,-x,z'
loop_
_atom_site_label
_atom_site_type_symbol
_atom_site_fract_x
_atom_site_fract_y
_atom_site_fract_z
_atom_site_occupancy
Zn1 Zn 0.000 0.000 0.000 1
Cr1 Cr 0.000 0.000 0.468 1
Cr2 Cr 0.500 0.500 0.159 1
Te1 Te 0.500 0.500 0.653 1
```

Results
E above lowest polymorph = 30 kJ/mol of formula units
Total magnetic moment = 1.76 μB/atom
E_form (uncorrected) = 0.391 eV per atom

---

Record 3
Computed, not measured: a geometry-optimized ZnCr2Te structure at the PBE level of DFT.

Structure (CIF):
```
data_ZnCr2Te
_cell_length_a 6.269
_cell_length_b 6.269
_cell_length_c 6.269
_cell_angle_alpha 90.00
_cell_angle_beta 90.00
_cell_angle_gamma 90.00
_symmetry_space_group_name_H-M 'F m -3 m'
_symmetry_Int_Tables_number 225
_symmetry_space_group_name_Hall '-F 4 2 3'
loop_
_atom_site_label
_atom_site_type_symbol
_atom_site_fract_x
_atom_site_fract_y
_atom_site_fract_z
_atom_site_occupancy
Zn1 Zn 0.000 0.000 0.000 1
Cr1 Cr 0.250 0.250 0.250 1
Te1 Te 0.000 0.000 0.500 1
```

Results
E above lowest polymorph = 60 kJ/mol of formula units
Total magnetic moment = 0.99 μB/atom
E_form (uncorrected) = 0.469 eV per atom